# LiNiO3, optimized geometry, DFT PBE with a Hubbard U
# * electronic total energy: -4.2471 eV/atom
data_LiNiO3
_chemical_formula_sum 'Li1 Ni1 O3'
_cell_length_a 3.676
_cell_length_b 3.676
_cell_length_c 3.676
_cell_angle_alpha 90.00
_cell_angle_beta 90.00
_cell_angle_gamma 90.00
_symmetry_space_group_name_H-M 'P m -3 m'
_symmetry_Int_Tables_number 221
_symmetry_space_group_name_Hall '-P 4 2 3'
loop_
_atom_site_label
_atom_site_fract_x
_atom_site_fract_y
_atom_site_fract_z
Li1 0.000 0.000 0.000
Ni1 0.500 0.500 0.500
O1 0.000 0.500 0.500